1.
Here is crystalline Na3Tb3AlSe8 at its relaxed geometry from the Alexandria database. Energies are from PBE.

Geometry as POSCAR:
```
Na3Tb3AlSe8
1.0
8.113 0.000 0.000
-4.057 7.031 -0.028
0.000 -4.664 7.150
Na Tb Al Se
3 3 1 8
Direct
0.000 0.000 0.000 Na
0.000 0.500 0.000 Na
0.500 0.500 0.000 Na
0.500 0.000 0.500 Tb
0.500 0.500 0.500 Tb
0.000 0.500 0.500 Tb
0.000 0.000 0.500 Al
0.256 0.512 0.268 Se
0.744 0.488 0.732 Se
0.775 0.550 0.285 Se
0.225 0.450 0.715 Se
0.775 0.010 0.285 Se
0.225 0.990 0.715 Se
0.235 0.010 0.285 Se
0.765 0.990 0.715 Se
```

Summary:
Formation energy from raw total energies in meV/atom: -1416

***

2.
Here is crystalline Th2ZrTe6 at its relaxed geometry from the Alexandria database. Energies are from PBE.

Geometry as POSCAR:
```
Th2ZrTe6
1.0
-4.993 4.283 3.139
-2.341 -5.642 3.975
8.739 3.145 9.609
Th Zr Te
4 2 12
Direct
0.000 0.000 0.331 Th
0.500 0.500 0.831 Th
0.500 0.500 0.169 Th
0.000 0.000 0.669 Th
0.000 0.000 0.000 Zr
0.500 0.500 0.500 Zr
0.304 0.304 0.346 Te
0.696 0.696 0.346 Te
0.196 0.804 0.846 Te
0.804 0.196 0.846 Te
0.196 0.804 0.154 Te
0.804 0.196 0.154 Te
0.304 0.304 0.654 Te
0.696 0.696 0.654 Te
0.292 0.292 0.000 Te
0.708 0.708 0.000 Te
0.208 0.792 0.500 Te
0.792 0.208 0.500 Te
```

Summary:
Formation energy from raw total energies in meV/atom: -919

***

3.
Here is crystalline Tl2HgPb at its relaxed geometry from the Alexandria database. Energies are from PBE.

Geometry as POSCAR:
```
Tl2HgPb
1.0
5.462 0.000 0.000
0.000 3.403 0.057
0.000 1.751 6.489
Pb Tl Hg
1 2 1
Direct
0.500 0.750 0.750 Pb
0.000 0.085 0.007 Tl
0.000 0.415 0.493 Tl
0.500 0.250 0.250 Hg
```

Summary:
E_form in meV/atom: 3.8

***

4.
Here is crystalline Sm4PSe2N at its relaxed geometry from the Alexandria database. Energies are from PBE.

Geometry as POSCAR:
```
Sm4PSe2N
1.0
-0.083 -0.019 -3.957
-0.580 -6.844 0.046
-6.553 2.849 0.123
Sm P Se N
4 1 2 1
Direct
0.500 0.220 0.209 Sm
0.500 0.780 0.791 Sm
0.000 0.239 0.783 Sm
0.000 0.761 0.217 Sm
0.500 0.500 0.000 P
0.500 0.000 0.500 Se
0.000 0.500 0.500 Se
0.000 0.000 0.000 N
```

Summary:
Formation energy from raw total energies in meV/atom: -1666

***

5.
Here is crystalline Sr3In2Hg5Bi2 at its relaxed geometry from the Alexandria database. Energies are from PBE.

Geometry as POSCAR:
```
Sr3In2Hg5Bi2
1.0
4.751 0.000 0.000
0.000 4.751 0.000
-2.375 -2.375 16.276
Sr In Hg Bi
3 2 5 2
Direct
0.165 0.165 0.329 Sr
0.835 0.835 0.671 Sr
0.000 0.000 0.000 Sr
0.362 0.362 0.724 In
0.638 0.638 0.276 In
0.577 0.077 0.154 Hg
0.423 0.923 0.846 Hg
0.077 0.577 0.154 Hg
0.923 0.423 0.846 Hg
0.500 0.500 0.000 Hg
0.732 0.732 0.465 Bi
0.268 0.268 0.535 Bi
```

Summary:
E_form in meV/atom: -331.0

***

6.
Here is crystalline BeVW3 at its relaxed geometry from the Alexandria database. Energies are from PBE.

Geometry as POSCAR:
```
BeVW3
1.0
-1.839 -0.738 3.737
-1.074 -3.881 -1.295
3.655 -1.512 1.500
Be W V
1 3 1
Direct
0.000 0.000 0.000 Be
0.000 0.500 0.000 W
0.000 0.000 0.500 W
0.500 0.000 0.000 W
0.500 0.500 0.500 V
```

Summary:
E_form in meV/atom: 867.9

***

7.
Here is crystalline PrY5Te4 at its relaxed geometry from the Alexandria database. Energies are from PBE.

Geometry as POSCAR:
```
PrY5Te4
1.0
-2.494 1.090 -3.253
-6.325 -4.807 3.237
-0.147 7.707 5.460
Pr Y Te
1 5 4
Direct
0.500 0.000 0.000 Pr
0.809 0.646 0.619 Y
0.842 0.204 0.683 Y
0.158 0.796 0.317 Y
0.500 0.500 0.000 Y
0.191 0.354 0.381 Y
0.327 0.927 0.654 Te
0.984 0.732 0.968 Te
0.673 0.073 0.346 Te
0.016 0.268 0.032 Te
```

Summary:
Formation energy from raw total energies in meV/atom: -941

***

8.
Here is crystalline ScCuRh2 at its relaxed geometry from the Alexandria database. Energies are from PBE.

Geometry as POSCAR:
```
ScCuRh2
1.0
-2.728 -3.157 0.938
1.258 -0.338 2.519
-2.885 3.254 2.563
Cu Rh Sc
1 2 1
Direct
0.500 0.750 0.750 Cu
0.000 0.960 0.984 Rh
0.000 0.540 0.516 Rh
0.500 0.250 0.250 Sc
```

Summary:
E_form in meV/atom: -339.1

***

9.
Here is crystalline CoHRh at its relaxed geometry from the Alexandria database. Energies are from PBE.

Geometry as POSCAR:
```
CoHRh
1.0
3.507 0.000 0.000
1.754 3.038 0.000
1.754 1.013 2.864
Co Rh H
1 1 1
Direct
0.500 0.500 0.500 Co
0.000 0.000 0.000 Rh
0.250 0.250 0.250 H
```

***

10.
Here is crystalline InTc2As at its relaxed geometry from the Alexandria database. Energies are from PBE.

Geometry as POSCAR:
```
InTc2As
1.0
-0.118 -0.362 -4.460
1.005 -4.350 0.326
-3.112 -0.708 0.140
As Tc In
1 2 1
Direct
0.500 0.000 0.500 As
0.000 0.000 0.000 Tc
0.500 0.500 0.000 Tc
0.000 0.500 0.500 In
```

Summary:
E_form in meV/atom: 294.4

***

11.
Here is crystalline Ac8La4Pr3 at its relaxed geometry from the Alexandria database. Energies are from PBE.

Geometry as POSCAR:
```
Ac8La4Pr3
1.0
7.267 -0.145 -0.208
-3.483 9.343 1.382
-3.483 -1.948 9.242
Ac La Pr
8 4 3
Direct
0.589 0.270 0.270 Ac
0.000 0.653 0.347 Ac
0.056 0.247 0.247 Ac
0.500 0.753 0.247 Ac
0.500 0.247 0.753 Ac
0.944 0.753 0.753 Ac
0.000 0.347 0.653 Ac
0.411 0.730 0.730 Ac
0.500 0.000 0.000 La
0.000 0.500 0.000 La
0.000 0.000 0.000 La
0.000 0.000 0.500 La
0.500 0.500 0.000 Pr
0.500 0.000 0.500 Pr
0.500 0.500 0.500 Pr
```

Summary:
E_form in meV/atom: 328.6

***

12.
Here is crystalline BaIrRh2 at its relaxed geometry from the Alexandria database. Energies are from PBE.

Geometry as POSCAR:
```
BaIrRh2
1.0
3.210 0.000 0.000
0.000 3.210 0.000
0.000 0.000 7.718
Ba Ir Rh
1 1 2
Direct
0.000 0.000 0.498 Ba
0.500 0.500 0.822 Ir
0.000 0.000 0.996 Rh
0.500 0.500 0.184 Rh
```

Summary:
E_form in meV/atom: 397.1

***

13.
Here is crystalline Li2Ga3Te6H12O24 at its relaxed geometry from the Alexandria database. Energies are from PBE.

Geometry as POSCAR:
```
Li2Ga3Te6H12O24
1.0
-2.889 -9.160 3.349
2.700 -8.897 -4.124
6.111 -6.883 4.329
Li Ga Te H O
2 3 6 12 24
Direct
0.693 0.693 0.693 Li
0.307 0.307 0.307 Li
0.806 0.806 0.806 Ga
0.194 0.194 0.194 Ga
0.000 0.000 0.000 Ga
0.926 0.390 0.978 Te
0.390 0.978 0.926 Te
0.978 0.926 0.390 Te
0.074 0.610 0.022 Te
0.610 0.022 0.074 Te
0.022 0.074 0.610 Te
0.889 0.531 0.492 H
0.531 0.492 0.889 H
0.492 0.889 0.531 H
0.111 0.469 0.508 H
0.469 0.508 0.111 H
0.508 0.111 0.469 H
0.883 0.707 0.338 H
0.707 0.338 0.883 H
0.338 0.883 0.707 H
0.117 0.293 0.662 H
0.293 0.662 0.117 H
0.662 0.117 0.293 H
0.927 0.583 0.767 O
0.583 0.767 0.927 O
0.767 0.927 0.583 O
0.073 0.417 0.233 O
0.417 0.233 0.073 O
0.233 0.073 0.417 O
0.140 0.340 0.977 O
0.340 0.977 0.140 O
0.977 0.140 0.340 O
0.860 0.660 0.023 O
0.660 0.023 0.860 O
0.023 0.860 0.660 O
0.034 0.225 0.876 O
0.225 0.876 0.034 O
0.876 0.034 0.225 O
0.966 0.775 0.124 O
0.775 0.124 0.966 O
0.124 0.966 0.775 O
0.848 0.654 0.467 O
0.654 0.467 0.848 O
0.467 0.848 0.654 O
0.152 0.346 0.533 O
0.346 0.533 0.152 O
0.533 0.152 0.346 O
```

***

14.
Here is crystalline Hf2PaRuC4 at its relaxed geometry from the Alexandria database. Energies are from PBE.

Geometry as POSCAR:
```
Hf2PaRuC4
1.0
3.364 0.000 0.000
-1.682 5.711 0.000
0.000 0.000 11.156
Hf Pa Ru C
4 2 2 8
Direct
0.369 0.738 0.542 Hf
0.631 0.262 0.042 Hf
0.631 0.262 0.458 Hf
0.369 0.738 0.958 Hf
0.115 0.229 0.750 Pa
0.885 0.771 0.250 Pa
0.856 0.712 0.750 Ru
0.144 0.288 0.250 Ru
0.266 0.533 0.124 C
0.734 0.467 0.624 C
0.734 0.467 0.876 C
0.266 0.533 0.376 C
0.000 0.000 0.500 C
0.000 0.000 0.000 C
0.450 0.900 0.750 C
0.550 0.100 0.250 C
```

Summary:
E_form in meV/atom: -368.4

***

15.
Here is crystalline RbNaTlHg at its relaxed geometry from the Alexandria database. Energies are from PBE.

Geometry as POSCAR:
```
RbNaTlHg
1.0
-2.730 -0.677 4.495
2.288 -4.159 -2.363
6.428 2.856 1.216
Rb Na Tl Hg
1 1 1 1
Direct
0.402 0.066 0.469 Rb
0.014 0.872 0.886 Na
0.471 0.600 0.072 Tl
0.804 0.267 0.071 Hg
```

Summary:
E_form in meV/atom: -137.1

***

16.
Here is crystalline La5Sm4Dy2 at its relaxed geometry from the Alexandria database. Energies are from PBE.

Geometry as POSCAR:
```
La5Sm4Dy2
1.0
3.534 0.000 -0.667
-0.200 11.785 -1.059
-0.091 0.204 9.209
La Sm Dy
5 4 2
Direct
0.904 0.463 0.809 La
0.096 0.537 0.191 La
0.822 0.924 0.644 La
0.500 0.000 0.000 La
0.178 0.076 0.356 La
0.359 0.202 0.717 Sm
0.962 0.737 0.925 Sm
0.641 0.798 0.283 Sm
0.038 0.263 0.075 Sm
0.716 0.357 0.432 Dy
0.284 0.643 0.568 Dy
```

Summary:
E_form in meV/atom: 74.5

***

17.
Here is crystalline TmBeRh at its relaxed geometry from the Alexandria database. Energies are from PBE.

Geometry as POSCAR:
```
TmBeRh
1.0
-2.885 -2.776 0.985
2.794 -0.612 6.456
-3.997 4.933 2.197
Tm Be Rh
4 4 4
Direct
0.250 0.805 0.496 Tm
0.750 0.305 0.004 Tm
0.250 0.695 0.996 Tm
0.750 0.195 0.504 Tm
0.750 0.908 0.183 Be
0.750 0.592 0.683 Be
0.250 0.092 0.817 Be
0.250 0.408 0.317 Be
0.750 0.574 0.325 Rh
0.750 0.926 0.825 Rh
0.250 0.074 0.175 Rh
0.250 0.426 0.675 Rh
```

Summary:
E_form in meV/atom: -663.8

***

18.
Here is crystalline K2AgCl2 at its relaxed geometry from the Alexandria database. Energies are from PBE.

Geometry as POSCAR:
```
K2AgCl2
1.0
8.697 0.000 0.000
0.000 8.697 0.000
0.000 0.000 3.857
K Ag Cl
4 2 4
Direct
0.150 0.650 0.500 K
0.650 0.850 0.500 K
0.850 0.350 0.500 K
0.350 0.150 0.500 K
0.000 0.000 0.000 Ag
0.500 0.500 0.000 Ag
0.348 0.848 0.000 Cl
0.848 0.652 0.000 Cl
0.652 0.152 0.000 Cl
0.152 0.348 0.000 Cl
```

Summary:
Formation energy from raw total energies in meV/atom: -1132

***

19.
Here is crystalline AgTeI2 at its relaxed geometry from the Alexandria database. Energies are from PBE.

Geometry as POSCAR:
```
AgTeI2
1.0
-1.424 7.710 -2.691
-7.713 -2.167 -2.126
-5.822 3.771 1.117
I Te Ag
4 2 2
Direct
0.589 0.125 0.250 I
0.161 0.625 0.250 I
0.375 0.411 0.750 I
0.875 0.839 0.750 I
0.000 0.000 0.000 Te
0.750 0.250 0.500 Te
0.500 0.500 0.000 Ag
0.250 0.750 0.500 Ag
```

Summary:
Formation energy from raw total energies in meV/atom: 234

***

20.
Here is crystalline LiNdErTc at its relaxed geometry from the Alexandria database. Energies are from PBE.

Geometry as POSCAR:
```
LiNdErTc
1.0
-4.733 0.147 1.555
-2.843 -4.084 -0.278
-1.332 -2.397 4.161
Li Nd Tc Er
1 1 1 1
Direct
0.250 0.250 0.250 Li
0.000 0.000 0.000 Nd
0.750 0.750 0.750 Tc
0.500 0.500 0.500 Er
```

Summary:
E_form in meV/atom: 18.2

***

21.
Here is crystalline CoTeRh2 at its relaxed geometry from the Alexandria database. Energies are from PBE.

Geometry as POSCAR:
```
CoTeRh2
1.0
8.312 0.020 0.012
7.755 2.989 0.012
7.755 1.453 2.613
Co Rh Te
1 2 1
Direct
0.749 0.749 0.749 Co
0.005 0.005 0.005 Rh
0.249 0.249 0.249 Rh
0.497 0.497 0.497 Te
```

Summary:
Formation energy from raw total energies in meV/atom: 416

***

22.
Here is crystalline LiP4Pt at its relaxed geometry from the Alexandria database. Energies are from PBE.

Geometry as POSCAR:
```
LiP4Pt
1.0
-3.737 1.444 3.221
-3.363 3.618 -1.422
-4.881 -1.274 -0.989
Li P Pt
1 4 1
Direct
0.000 0.000 0.000 Li
0.910 0.363 0.363 P
0.363 0.363 0.910 P
0.363 0.910 0.363 P
0.363 0.363 0.363 P
0.750 0.750 0.750 Pt
```

Summary:
E_form in meV/atom: 369.2

***

no.,Fermi-level density of states (states/eV/cell),uncorrected energy (eV/atom)
1,9.59,-4.714
2,0.01,-5.612
3,1.40,-2.182
4,2.80,-6.613
5,7.04,-1.980
6,5.50,-9.473
7,8.85,-5.908
8,2.24,-6.622
9,3.37,-5.426
10,4.55,-6.736
11,29.00,-4.132
12,5.76,-5.975
13,21.89,-5.268
14,8.66,-9.815
15,2.78,-1.376
16,16.72,-4.718
17,6.59,-5.847
18,2.68,-2.880
19,10.26,-2.039
20,3.84,-5.384
21,4.86,-5.821
22,3.60,-4.563